An optimized crystal structure of Dy8Te4AsSe3. Source: Alexandria via LeMat-Bulk, functional PBE.

Properties
Density of states at the Fermi level ... 5.245 states/eV per cell
Uncorrected formation energy ... -1530 meV/atom

```
Dy8Te4AsSe3
1.0
8.390 0.000 0.000
0.000 8.518 0.084
-4.195 -4.191 5.935
Dy Te As Se
8 4 1 3
Direct
0.236 0.714 0.979
0.236 0.714 0.472
0.262 0.285 0.523
0.743 0.714 0.979
0.257 0.286 0.021
0.738 0.715 0.477
0.764 0.286 0.528
0.764 0.286 0.021
0.500 0.000 0.000
0.500 0.000 0.500
0.000 0.000 0.000
0.000 0.000 0.500
0.000 0.500 0.000
0.500 0.500 0.000
0.500 0.500 0.500
0.000 0.500 0.500
```